# MgCrSb | the Alexandria database | PBE-GGA | optimized geometry
# E_tot in eV/f.u.: -14.53
# N(E_F) in states/eV/cell: 2.154
data_MgCrSb
_chemical_formula_sum 'Mg1 Cr1 Sb1'
_cell_length_a 4.6492
_cell_length_b 4.6492
_cell_length_c 3.5624
_cell_angle_alpha 90.00
_cell_angle_beta 90.00
_cell_angle_gamma 120.00
_symmetry_space_group_name_H-M 'P -6 m 2'
_symmetry_Int_Tables_number 187
_symmetry_space_group_name_Hall 'P -6 2'
loop_
_atom_site_label
_atom_site_fract_x
_atom_site_fract_y
_atom_site_fract_z
_atom_site_occupancy
Mg1 0.0000 0.0000 0.0000 1
Cr1 0.3333 0.6667 0.5000 1
Sb1 0.6667 0.3333 0.5000 1